Computed, not measured: an optimized crystal structure of NdU3As4 at the PBE level of DFT.

Cell: 4.0835 7.1883 7.1883 Å, 71.17 90.00 90.00°
Each line ends with the local moment (μB).
Sites, in units of the cell vectors:
Nd 0.5000 0.5001 0.0000  0.03
U 0.5000 0.0001 0.5000  2.23
As 0.0000 0.2419 0.2581  -0.06
U 0.0000 0.0001 0.0000  2.33
As 0.4999 0.7536 0.2535  -0.07
As 0.5000 0.2466 0.7465  -0.07
As 0.0000 0.7583 0.7418  -0.06
U 0.0000 0.5001 0.5000  2.33

Results
Volume, Å³/atom: 25.0
Magnetization, Bohr magnetons per cell: 7.6
DOS at the Fermi energy, states/eV/f.u.: 15.73
DFT formation energy, kJ/mol of atoms: -88.05

Computed, not measured: an optimized crystal structure of Nd2UAs3 at the PBE level of DFT.

Cell: 4.2111 4.2111 9.3882 Å, 102.94 102.94 90.07°
Each line ends with the local moment (μB).
Sites, in units of the cell vectors:
Nd 0.7667 0.7680 0.5388  0.02
As 0.2722 0.2735 0.5498  -0.03
U 0.4341 0.4359 0.8740  2.28
As 0.9341 0.9359 0.8740  -0.07
Nd 0.1019 0.1032 0.2092  0.02
As 0.5964 0.5976 0.1981  -0.03

Results
Volume, Å³/atom: 26.3
Magnetization, Bohr magnetons per cell: 2.5
DOS at the Fermi energy, states/eV/f.u.: 6.16
DFT formation energy, kJ/mol of atoms: -119.66

Computed, not measured: an optimized crystal structure of Nd5UAs6 at the PBE level of DFT.

Cell: 7.3385 7.3385 7.3325 Å, 99.61 99.61 120.00°
Each line ends with the local moment (μB).
Sites, in units of the cell vectors:
Nd 0.5000 0.5000 0.5000  0.02
Nd 0.8305 0.1695 0.5000  0.01
As 0.7602 0.7602 0.2434  -0.03
U 0.0000 0.0000 0.0000  2.00
As 0.9191 0.5970 0.7567  -0.03
As 0.2398 0.2398 0.7566  -0.03
Nd 0.6660 0.3340 0.0000  0.01
As 0.4030 0.0809 0.2433  -0.03
As 0.0809 0.4030 0.2433  -0.03
As 0.5970 0.9191 0.7567  -0.03
Nd 0.3340 0.6660 0.0000  0.01
Nd 0.1695 0.8305 0.5000  0.01

Results
Volume, Å³/atom: 26.9
Magnetization, Bohr magnetons per cell: 2.1
DOS at the Fermi energy, states/eV/f.u.: 9.12
DFT formation energy, kJ/mol of atoms: -133.39